The following is a PBE calculation of a relaxed structure of KBe2, from Alexandria via LeMat-Bulk.

Cell: 4.353 4.353 11.566 Å, 90.00 90.00 90.00°
Element x y z (fractional)
1 K 0.000 0.000 0.250
2 K 0.000 0.000 0.750
3 K 0.500 0.500 0.250
4 K 0.500 0.500 0.750
5 Be 0.173 0.327 0.000
6 Be 0.173 0.673 0.500
7 Be 0.327 0.173 0.500
8 Be 0.327 0.827 0.000
9 Be 0.673 0.173 0.000
10 Be 0.673 0.827 0.500
11 Be 0.827 0.327 0.500
12 Be 0.827 0.673 0.000

Summary:
The calculation puts the formation energy at 0.585 eV per atom. As for the density: 1731 kg/m3. Its space group is I4/mcm, No. 140. The density of states at the Fermi level comes out at 7.13 states/eV per cell. The calculation puts the energy at -27.183 eV/cell.